Entry 1:
Material: RbYZnS2
Method: DFT, PBE
State: relaxed

```
RbYZnS2
1.0
5.5951 0.0000 0.0000
0.0000 5.5951 0.0000
0.0000 0.0000 5.0681
Rb Y Zn S
1 1 1 2
direct
0.0000 0.0000 0.0000
0.5000 0.5000 0.5000
0.0000 0.0000 0.5000
0.0000 0.5000 0.0000
0.5000 0.0000 0.0000
```

Values from the calculation:
total magnetization = 0.00 μB per atom
E_tot = -14.49 eV for the cell shown

=====

Entry 2:
Material: K3Np4O12
Method: DFT, PBE
State: relaxed

```
K3Np4O12
1.0
-4.2566 4.2566 4.2566
4.2566 -4.2566 4.2566
4.2566 4.2566 -4.2566
K Np O
3 4 12
direct
0.0000 0.5000 0.5000
0.5000 0.0000 0.5000
0.5000 0.5000 0.0000
0.0000 0.0000 0.5000
0.0000 0.5000 0.0000
0.5000 0.0000 0.0000
0.5000 0.5000 0.5000
0.0009 0.7461 0.2548
0.2539 0.2548 0.5088
0.2539 0.7452 0.9991
0.2548 0.0009 0.7461
0.2548 0.5088 0.2539
0.4912 0.7461 0.7452
0.5088 0.2539 0.2548
0.7452 0.4912 0.7461
0.7452 0.9991 0.2539
0.7461 0.2548 0.0009
0.7461 0.7452 0.4912
0.9991 0.2539 0.7452
```

Values from the calculation:
total magnetization = 0.37 μB per atom
E_tot = -166.16 eV for the cell shown

=====

Copy entry 1 word for word.
Material: RbYZnS2
Method: DFT, PBE
State: relaxed

```
RbYZnS2
1.0
5.5951 0.0000 0.0000
0.0000 5.5951 0.0000
0.0000 0.0000 5.0681
Rb Y Zn S
1 1 1 2
direct
0.0000 0.0000 0.0000
0.5000 0.5000 0.5000
0.0000 0.0000 0.5000
0.0000 0.5000 0.0000
0.5000 0.0000 0.0000
```

Values from the calculation:
total magnetization = 0.00 μB per atom
E_tot = -14.49 eV for the cell shown

=====

The lowest total magnetization belongs to which entry? RbYZnS2

=====

total magnetization of number 1 (RbYZnS2)? 0.00 μB per atom